An optimized crystal structure of WAu2F, computed with GGA+U.

Lattice parameters (Å, degrees): 7.6448 7.6448 5.9847 50.31 50.31 90.00
Last column: nearest neighbours and their distance in Å.
Fractional coordinates of all 8 atoms:
Au  0.3750  0.3846  0.7500  2 Au 2.57, 2 F 2.73, 2 W 2.83
W  0.7500  0.2500  0.5000  2 F 2.57, 4 Au 2.83
F  0.2500  0.7500  0.5000  2 W 2.57, 4 Au 2.73
W  0.0000  0.0000  0.0000  2 F 2.57, 4 Au 2.83
Au  0.6154  0.1250  0.2500  2 Au 2.57, 2 F 2.73, 2 W 2.83
F  0.5000  0.5000  0.0000  2 W 2.57, 4 Au 2.73
Au  0.8750  0.8654  0.7500  2 Au 2.57, 2 F 2.73, 2 W 2.83
Au  0.1346  0.6250  0.2500  2 Au 2.57, 2 F 2.73, 2 W 2.83

## Properties
The density of states at the Fermi level comes out at 0.8 states/eV per cell. The calculation puts the energy above the lowest structure with this stoichiometry at 0.0 meV/atom.